1.
Compound: Re2TeRh
Source: the Alexandria database
Functional: PBE-GGA
Structure: optimized geometry

Computed properties:
Total DFT energy (no corrections): -0.310 hartree per atom
ΔE_f (raw): 0.42 eV per atom
Magnetic moment: 0.00 μB/cell
Space-group type: R3m

Unit cell a=9.056 b=9.056 c=9.056 alpha=18.69 beta=18.69 gamma=18.69
Element x y z (fractional)
Re (0.000, 0.000, 0.000)
Re (0.256, 0.256, 0.256)
Te (0.499, 0.499, 0.499)
Rh (0.748, 0.748, 0.748)



2.
Compound: Ce6Te3Ir2Se
Source: the Alexandria database
Functional: PBE-GGA
Structure: optimized geometry

Computed properties:
Total DFT energy (no corrections): -0.248 hartree per atom
ΔE_f (raw): -1.23 eV per atom
Magnetic moment: 6.06 μB/cell
Space-group type: C2/m

Unit cell a=9.768 b=9.768 c=8.901 alpha=105.86 beta=105.86 gamma=24.91
Element x y z (fractional)
Ce (0.015, 0.015, 0.246)
Ce (0.323, 0.323, 0.438)
Ce (0.334, 0.334, 0.882)
Ce (0.666, 0.666, 0.118)
Ce (0.677, 0.677, 0.562)
Ce (0.985, 0.985, 0.754)
Te (0.161, 0.161, 0.837)
Te (0.500, 0.500, 0.500)
Te (0.839, 0.839, 0.163)
Ir (0.168, 0.168, 0.336)
Ir (0.832, 0.832, 0.664)
Se (0.500, 0.500, 0.000)